{"formula": "Cu2PtAu3", "functional": "PBE", "state": "optimized geometry", "final_energy_ev_per_atom": -4.04, "n_ef_per_ev_atom": 0.251, "relative_energy_ev_per_atom": 0.000, "e_form_ev_per_atom": -0.027, "total_magnetization_mub_per_fu": 0.000, "lattice": [[-3.403, 0.363, 3.201], [-2.178, -6.453, -3.294], [5.096, 0.628, 4.508]], "species": ["Cu", "Cu", "Cu", "Cu", "Pt", "Pt", "Au", "Au", "Au", "Au", "Au", "Au"], "fractional_positions": [[0.554, 0.893, 0.089], [0.446, 0.107, 0.911], [0.210, 0.889, 0.433], [0.790, 0.111, 0.567], [0.126, 0.108, 0.245], [0.874, 0.892, 0.755], [0.023, 0.359, 0.067], [0.977, 0.641, 0.933], [0.705, 0.364, 0.410], [0.295, 0.636, 0.590], [0.620, 0.653, 0.258], [0.380, 0.347, 0.742]]}

---

{"formula": "CuPt2Au", "functional": "PBE", "state": "optimized geometry", "final_energy_ev_per_atom": -4.89, "n_ef_per_ev_atom": 0.652, "relative_energy_ev_per_atom": 0.083, "e_form_ev_per_atom": -0.022, "total_magnetization_mub_per_fu": 0.000, "lattice": [[-1.866, -1.475, 1.394], [0.390, -0.515, -2.681], [6.662, -6.356, 2.192]], "species": ["Au", "Cu", "Pt", "Pt"], "fractional_positions": [[0.500, 0.500, 0.250], [0.500, 0.500, 0.750], [0.000, 0.000, 0.981], [0.000, 0.000, 0.519]]}

---

{"formula": "Cu7Pt3Au", "functional": "PBE", "state": "optimized geometry", "final_energy_ev_per_atom": -4.40, "n_ef_per_ev_atom": 0.450, "e_form_ev_per_atom": 0.154, "total_magnetization_mub_per_fu": 0.000, "lattice": [[-2.381, 2.366, -3.206], [0.300, -6.252, -1.525], [-3.732, -1.379, 5.066]], "species": ["Cu", "Cu", "Cu", "Cu", "Cu", "Cu", "Cu", "Pt", "Pt", "Pt", "Au"], "fractional_positions": [[0.171, 0.177, 0.177], [0.330, 0.073, 0.587], [0.670, 0.413, 0.927], [0.330, 0.587, 0.073], [0.000, 0.500, 0.500], [0.670, 0.927, 0.413], [0.829, 0.823, 0.823], [0.000, 0.770, 0.230], [0.500, 0.000, 0.000], [0.000, 0.230, 0.770], [0.500, 0.500, 0.500]]}

---

{"formula": "Cu2PtAu3", "functional": "PBE", "state": "optimized geometry", "final_energy_ev_per_atom": -3.99, "n_ef_per_ev_atom": 0.424, "relative_energy_ev_per_atom": 0.049, "e_form_ev_per_atom": 0.022, "total_magnetization_mub_per_fu": 0.000, "lattice": [[2.794, 0.000, 0.000], [0.000, 8.257, -0.202], [-1.397, -2.292, 8.608]], "species": ["Cu", "Cu", "Cu", "Cu", "Pt", "Pt", "Au", "Au", "Au", "Au", "Au", "Au"], "fractional_positions": [[0.299, 0.617, 0.599], [0.701, 0.383, 0.401], [0.908, 0.832, 0.816], [0.092, 0.168, 0.184], [0.308, 0.946, 0.615], [0.692, 0.054, 0.385], [0.315, 0.302, 0.630], [0.064, 0.834, 0.127], [0.443, 0.587, 0.886], [0.685, 0.698, 0.370], [0.557, 0.413, 0.114], [0.936, 0.166, 0.873]]}

---

{"formula": "CuPt2Au6", "functional": "PBE", "state": "optimized geometry", "final_energy_ev_per_atom": -3.97, "n_ef_per_ev_atom": 0.440, "relative_energy_ev_per_atom": 0.000, "e_form_ev_per_atom": 0.017, "total_magnetization_mub_per_fu": 0.000, "lattice": [[-3.469, 2.046, 0.007], [-0.442, -4.718, 1.454], [0.072, 0.093, 8.796]], "species": ["Cu", "Pt", "Pt", "Au", "Au", "Au", "Au", "Au", "Au"], "fractional_positions": [[0.000, 0.000, 0.500], [0.665, 0.330, 0.947], [0.335, 0.670, 0.053], [0.998, 0.995, 0.833], [0.667, 0.334, 0.280], [0.333, 0.666, 0.720], [0.664, 0.328, 0.607], [0.336, 0.672, 0.393], [0.002, 0.005, 0.167]]}

---

{"formula": "Cu5Pt4Au2", "functional": "PBE", "state": "optimized geometry", "final_energy_ev_per_atom": -4.64, "n_ef_per_ev_atom": 0.550, "e_form_ev_per_atom": 0.010, "total_magnetization_mub_per_fu": 0.000, "lattice": [[4.863, 0.036, 2.177], [1.762, 4.532, 2.178], [0.793, 0.546, 8.199]], "species": ["Cu", "Cu", "Cu", "Cu", "Cu", "Pt", "Pt", "Pt", "Pt", "Au", "Au"], "fractional_positions": [[0.746, 0.223, 0.796], [0.254, 0.777, 0.204], [0.000, 0.000, 0.500], [0.223, 0.746, 0.796], [0.777, 0.254, 0.204], [0.273, 0.273, 0.499], [0.727, 0.727, 0.501], [0.696, 0.696, 0.860], [0.304, 0.304, 0.140], [0.216, 0.216, 0.857], [0.784, 0.784, 0.143]]}

---

{"formula": "CuPt2Au8", "functional": "PBE", "state": "optimized geometry", "final_energy_ev_per_atom": -3.79, "n_ef_per_ev_atom": 0.316, "relative_energy_ev_per_atom": 0.051, "e_form_ev_per_atom": 0.064, "total_magnetization_mub_per_fu": 0.000, "lattice": [[4.408, -0.035, 0.000], [0.059, 8.330, 0.000], [0.030, 4.165, 5.444]], "species": ["Cu", "Pt", "Pt", "Au", "Au", "Au", "Au", "Au", "Au", "Au", "Au"], "fractional_positions": [[0.500, 0.000, 0.000], [0.000, 0.379, 0.242], [0.000, 0.621, 0.758], [0.000, 0.036, 0.263], [0.000, 0.299, 0.737], [0.500, 0.326, 0.000], [0.500, 0.760, 0.479], [0.500, 0.240, 0.521], [0.500, 0.674, 0.000], [0.000, 0.701, 0.263], [0.000, 0.964, 0.737]]}

---

{"formula": "CuPt2Au2", "functional": "PBE", "state": "optimized geometry", "final_energy_ev_per_atom": -4.42, "n_ef_per_ev_atom": 1.764, "relative_energy_ev_per_atom": 0.000, "e_form_ev_per_atom": 0.123, "total_magnetization_mub_per_fu": 0.000, "lattice": [[-0.113, -1.601, 3.998], [0.706, -2.616, -3.350], [5.459, 0.843, 0.491]], "species": ["Cu", "Pt", "Pt", "Au", "Au"], "fractional_positions": [[0.000, 0.000, 0.000], [0.667, 0.333, 0.127], [0.333, 0.667, 0.873], [0.333, 0.667, 0.373], [0.667, 0.333, 0.627]]}

---

{"formula": "CuPt2Au", "functional": "PBE", "state": "optimized geometry", "final_energy_ev_per_atom": -4.90, "n_ef_per_ev_atom": 0.545, "relative_energy_ev_per_atom": 0.066, "e_form_ev_per_atom": -0.039, "total_magnetization_mub_per_fu": 0.000, "lattice": [[4.733, 0.000, 0.000], [0.000, 2.766, 0.001], [0.000, 0.060, 4.780]], "species": ["Au", "Cu", "Pt", "Pt"], "fractional_positions": [[0.500, 0.250, 0.250], [0.500, 0.750, 0.750], [0.000, 0.987, 0.994], [0.000, 0.513, 0.506]]}

---

{"formula": "Cu2PtAu", "functional": "PBE", "state": "optimized geometry", "final_energy_ev_per_atom": -4.44, "n_ef_per_ev_atom": 0.308, "e_form_ev_per_atom": -0.062, "total_magnetization_mub_per_fu": 0.000, "lattice": [[5.210, 0.026, 0.033], [2.503, 4.569, -0.033], [-3.341, -3.163, 2.445]], "species": ["Au", "Cu", "Cu", "Pt"], "fractional_positions": [[0.240, 0.740, 0.500], [0.989, 0.989, 0.000], [0.760, 0.260, 0.500], [0.512, 0.512, 0.000]]}

---

{"formula": "Cu2PtAu", "functional": "PBE", "state": "optimized geometry", "final_energy_ev_per_atom": -4.50, "n_ef_per_ev_atom": 0.317, "e_form_ev_per_atom": -0.120, "total_magnetization_mub_per_fu": 0.000, "lattice": [[-1.977, -1.576, -1.233], [0.988, -2.276, 1.326], [-4.525, 1.298, 5.597]], "species": ["Au", "Cu", "Cu", "Pt"], "fractional_positions": [[0.500, 0.500, 0.750], [0.000, 0.000, 0.009], [0.000, 0.000, 0.491], [0.500, 0.500, 0.250]]}

---

{"formula": "Cu7Pt2Au3", "functional": "PBE", "state": "optimized geometry", "final_energy_ev_per_atom": -4.17, "n_ef_per_ev_atom": 0.374, "e_form_ev_per_atom": 0.042, "total_magnetization_mub_per_fu": 0.000, "lattice": [[-2.424, 1.315, 0.369], [-0.091, -1.311, 4.082], [7.353, 13.404, 0.526]], "species": ["Cu", "Cu", "Cu", "Cu", "Cu", "Cu", "Cu", "Pt", "Pt", "Au", "Au", "Au"], "fractional_positions": [[0.500, 0.714, 0.459], [0.500, 0.286, 0.541], [0.000, 0.441, 0.142], [0.000, 0.000, 0.000], [0.000, 0.559, 0.858], [0.500, 0.026, 0.821], [0.500, 0.974, 0.179], [0.500, 0.563, 0.285], [0.500, 0.437, 0.715], [0.500, 0.500, 0.000], [0.000, 0.145, 0.380], [0.000, 0.855, 0.620]]}